[1]
Computed, not measured: a geometry-optimized Rb2LiNdB2O6 structure at the PBE level of DFT.

Values from the calculation:
- uncorrected energy (eV per atom) = -6.81
- theoretical density (g/cm3) = 4.2

Cell: 7.091 9.642 10.091 Å, 90.00 90.00 90.00°
Fractional positions:
Rb (0.223, 0.084, 0.055)
Rb (0.223, 0.084, 0.445)
Rb (0.223, 0.416, 0.555)
Rb (0.223, 0.416, 0.945)
Rb (0.777, 0.584, 0.055)
Rb (0.777, 0.584, 0.445)
Rb (0.777, 0.916, 0.555)
Rb (0.777, 0.916, 0.945)
Li (0.046, 0.149, 0.750)
Li (0.046, 0.351, 0.250)
Li (0.954, 0.649, 0.750)
Li (0.954, 0.851, 0.250)
Nd (0.364, 0.739, 0.250)
Nd (0.364, 0.761, 0.750)
Nd (0.636, 0.239, 0.250)
Nd (0.636, 0.261, 0.750)
B (0.195, 0.750, 0.000)
B (0.195, 0.750, 0.500)
B (0.338, 0.060, 0.750)
B (0.338, 0.440, 0.250)
B (0.662, 0.560, 0.750)
B (0.662, 0.940, 0.250)
B (0.805, 0.250, 0.000)
B (0.805, 0.250, 0.500)
O (0.103, 0.692, 0.606)
O (0.103, 0.692, 0.894)
O (0.103, 0.808, 0.106)
O (0.103, 0.808, 0.394)
O (0.183, 0.527, 0.250)
O (0.183, 0.973, 0.750)
O (0.310, 0.203, 0.750)
O (0.310, 0.297, 0.250)
O (0.393, 0.750, 0.000)
O (0.393, 0.750, 0.500)
O (0.481, 0.505, 0.750)
O (0.481, 0.995, 0.250)
O (0.519, 0.005, 0.750)
O (0.519, 0.495, 0.250)
O (0.607, 0.250, 0.000)
O (0.607, 0.250, 0.500)
O (0.690, 0.703, 0.750)
O (0.690, 0.797, 0.250)
O (0.817, 0.027, 0.250)
O (0.817, 0.473, 0.750)
O (0.897, 0.192, 0.606)
O (0.897, 0.192, 0.894)
O (0.897, 0.308, 0.106)
O (0.897, 0.308, 0.394)

[2]
Computed, not measured: a geometry-optimized Li17Ni16B16 structure at the PBE level of DFT.

Values from the calculation:
- uncorrected energy (eV per atom) = -4.96
- theoretical density (g/cm3) = 3.9

Cell: 7.853 8.757 15.186 Å, 91.70 90.04 92.08°
Fractional positions:
Li (0.000, 0.000, 0.000)
Li (0.001, 0.014, 0.199)
Li (0.074, 0.030, 0.829)
Li (0.132, 0.003, 0.371)
Li (0.138, 0.506, 0.657)
Li (0.141, 0.530, 0.839)
Li (0.183, 0.497, 0.327)
Li (0.229, 0.997, 0.573)
Li (0.263, 0.479, 0.080)
Li (0.301, 0.982, 0.096)
Li (0.338, 0.500, 0.532)
Li (0.353, 0.999, 0.921)
Li (0.380, 0.989, 0.736)
Li (0.386, 0.994, 0.260)
Li (0.422, 0.502, 0.935)
Li (0.466, 0.493, 0.220)
Li (0.471, 0.488, 0.726)
Li (0.474, 0.996, 0.452)
Li (0.524, 0.495, 0.400)
Li (0.638, 0.991, 0.617)
Li (0.654, 0.002, 0.988)
Li (0.665, 0.001, 0.151)
Li (0.674, 0.493, 0.077)
Li (0.697, 0.488, 0.567)
Li (0.704, 0.024, 0.813)
Li (0.715, 0.525, 0.872)
Li (0.723, 0.012, 0.329)
Li (0.787, 0.515, 0.306)
Li (0.849, 0.514, 0.724)
Li (0.891, 0.008, 0.491)
Li (0.961, 0.019, 0.675)
Li (0.967, 0.497, 0.986)
Li (0.983, 0.517, 0.473)
Li (0.984, 0.513, 0.173)
Ni (0.007, 0.756, 0.587)
Ni (0.008, 0.262, 0.588)
Ni (0.008, 0.750, 0.087)
Ni (0.009, 0.253, 0.089)
Ni (0.136, 0.773, 0.736)
Ni (0.137, 0.757, 0.237)
Ni (0.139, 0.260, 0.939)
Ni (0.139, 0.261, 0.441)
Ni (0.255, 0.740, 0.986)
Ni (0.257, 0.748, 0.485)
Ni (0.258, 0.244, 0.690)
Ni (0.259, 0.242, 0.190)
Ni (0.386, 0.745, 0.338)
Ni (0.386, 0.752, 0.836)
Ni (0.387, 0.247, 0.339)
Ni (0.388, 0.256, 0.838)
Ni (0.506, 0.239, 0.588)
Ni (0.506, 0.736, 0.587)
Ni (0.507, 0.745, 0.087)
Ni (0.508, 0.235, 0.089)
Ni (0.636, 0.753, 0.237)
Ni (0.636, 0.755, 0.736)
Ni (0.637, 0.268, 0.940)
Ni (0.640, 0.252, 0.441)
Ni (0.757, 0.747, 0.486)
Ni (0.758, 0.248, 0.689)
Ni (0.759, 0.744, 0.986)
Ni (0.761, 0.265, 0.191)
Ni (0.887, 0.772, 0.838)
Ni (0.889, 0.277, 0.839)
Ni (0.890, 0.772, 0.338)
Ni (0.891, 0.261, 0.340)
B (0.007, 0.750, 0.954)
B (0.009, 0.274, 0.721)
B (0.009, 0.774, 0.456)
B (0.011, 0.272, 0.221)
B (0.137, 0.750, 0.367)
B (0.139, 0.242, 0.308)
B (0.140, 0.784, 0.869)
B (0.142, 0.276, 0.808)
B (0.253, 0.733, 0.118)
B (0.255, 0.227, 0.057)
B (0.256, 0.744, 0.617)
B (0.257, 0.255, 0.559)
B (0.384, 0.734, 0.705)
B (0.386, 0.746, 0.206)
B (0.388, 0.253, 0.470)
B (0.389, 0.248, 0.971)
B (0.506, 0.738, 0.457)
B (0.507, 0.758, 0.956)
B (0.510, 0.232, 0.720)
B (0.510, 0.236, 0.220)
B (0.636, 0.775, 0.868)
B (0.637, 0.754, 0.368)
B (0.638, 0.263, 0.309)
B (0.638, 0.282, 0.808)
B (0.758, 0.231, 0.558)
B (0.758, 0.746, 0.617)
B (0.758, 0.750, 0.117)
B (0.760, 0.238, 0.058)
B (0.886, 0.243, 0.968)
B (0.886, 0.763, 0.207)
B (0.887, 0.769, 0.707)
B (0.888, 0.262, 0.470)

[3]
Computed, not measured: a geometry-optimized Li3Ni8B8 structure at the PBE level of DFT.

Values from the calculation:
- uncorrected energy (eV per atom) = -5.64
- theoretical density (g/cm3) = 4.9

Cell: 3.921 6.731 7.603 Å, 89.12 89.71 78.63°
Fractional positions:
Li (0.000, 0.000, 0.000)
Li (0.465, 0.013, 0.308)
Li (0.535, 0.987, 0.692)
Ni (0.079, 0.665, 0.743)
Ni (0.189, 0.316, 0.552)
Ni (0.314, 0.674, 0.245)
Ni (0.419, 0.328, 0.052)
Ni (0.581, 0.672, 0.948)
Ni (0.686, 0.326, 0.755)
Ni (0.811, 0.684, 0.448)
Ni (0.921, 0.335, 0.257)
B (0.091, 0.639, 0.008)
B (0.193, 0.306, 0.814)
B (0.302, 0.695, 0.506)
B (0.416, 0.348, 0.316)
B (0.584, 0.652, 0.684)
B (0.698, 0.305, 0.494)
B (0.807, 0.694, 0.186)
B (0.909, 0.361, 0.992)

Calculated spin magnetization (μB/f.u.), listed in the same order as above: 0.00; 0.00; 0.01